Compound: Co4PbCl
Source: the Alexandria database
Functional: GGA-PBE
Structure: relaxed

Cell lengths 5.056, 5.056, 5.056 Å; angles 60.00, 60.00, 60.00 degrees
Atoms (fractional coordinates):
Pb1 0.750 0.750 0.750
Co1 0.875 0.375 0.375
Co2 0.375 0.375 0.375
Co3 0.375 0.375 0.875
Co4 0.375 0.875 0.375
Cl1 0.000 0.000 0.000

Compound: Rb2CoPbCl
Source: the Alexandria database
Functional: GGA-PBE
Structure: relaxed

Cell lengths 6.924, 4.122, 6.924 Å; angles 90.00, 90.00, 90.00 degrees
Atoms (fractional coordinates):
Rb1 0.000 0.000 0.500
Co1 0.000 0.000 0.000
Cl1 0.000 0.500 0.000
Rb2 0.500 0.000 0.000
Pb1 0.500 0.500 0.500

Number 1: formation energy from raw total energies 0.576 eV per atom. Number 2: formation energy from raw total energies 0.089 eV per atom.